# Ac3Ho

An optimized crystal structure of Ac3Ho (GGA-PBE, Alexandria).

Lattice parameters (Å, degrees): 5.5217 5.4114 11.0418 90.00 90.00 90.00
Closest atoms and distances in Å follow each position.
Space group Pmma (No. 51)
Symmetry-distinct sites (fractional):
Ac1 0.2500 0.0000 0.1180 x2  6 Ho 3.75-3.87, 6 Ac 3.80-3.90
Ac2 0.2500 0.0000 0.6330 x2  2 Ho 3.86, 10 Ac 3.87-4.03
Ac3 0.2500 0.5000 0.3694 x2  10 Ac 3.87-3.99, 2 Ho 3.92
Ho1 0.2500 0.5000 0.8823 x2  10 Ac 3.75-3.92, 2 Ho 3.79

Computed properties:
Total energy = -4.175 eV per atom
Volume = 330 Å³ per cell
Calculated formation energy = 51 meV per atom